No. 1
Computed, not measured: Rb2MgBr2 at its PBEsol-relaxed geometry at the SCAN level of DFT.

## Properties
total moment = 0.00 μB per formula unit
ΔE_f (raw) = -1.10 eV/atom

CIF file:
```
data_Rb2MgBr2
_symmetry_space_group_name_H-M 'I 4/m m m'
_symmetry_Int_Tables_number 139
_symmetry_space_group_name_Hall '-I 4 2'
_cell_length_a 6.3570
_cell_length_b 6.3570
_cell_length_c 12.8122
_cell_angle_alpha 90.00
_cell_angle_beta 90.00
_cell_angle_gamma 90.00
loop_
_atom_site_label
_atom_site_fract_x
_atom_site_fract_y
_atom_site_fract_z
Rb1 0.0000 0.0000 0.1844
Mg1 0.0000 0.0000 0.5000
Br1 0.0000 0.5000 0.2500
```

No. 2
Computed, not measured: Mg2ReBr at its PBEsol-relaxed geometry at the SCAN level of DFT.

## Properties
offset from the most stable computed form = 0.000 eV/f.u.
total moment = 0.00 μB per formula unit
ΔE_f (raw) = 0.11 eV/atom

CIF file:
```
data_Mg2ReBr
_symmetry_space_group_name_H-M 'C m m m'
_symmetry_Int_Tables_number 65
_symmetry_space_group_name_Hall '-C 2 2'
_cell_length_a 3.6536
_cell_length_b 4.8424
_cell_length_c 8.3102
_cell_angle_alpha 90.00
_cell_angle_beta 90.00
_cell_angle_gamma 90.00
loop_
_atom_site_label
_atom_site_fract_x
_atom_site_fract_y
_atom_site_fract_z
Mg1 0.0000 0.0000 0.2354
Re1 0.0000 0.5000 0.0000
Br1 0.0000 0.5000 0.5000
```

No. 3
Computed, not measured: MgRe3Br at its PBEsol-relaxed geometry at the SCAN level of DFT.

## Properties
total moment = 0.00 μB per formula unit
ΔE_f (raw) = 3.21 eV/atom

CIF file:
```
data_MgRe3Br
_symmetry_space_group_name_H-M 'P m -3 m'
_symmetry_Int_Tables_number 221
_symmetry_space_group_name_Hall '-P 4 2 3'
_cell_length_a 4.5415
_cell_length_b 4.5415
_cell_length_c 4.5415
_cell_angle_alpha 90.00
_cell_angle_beta 90.00
_cell_angle_gamma 90.00
loop_
_atom_site_label
_atom_site_fract_x
_atom_site_fract_y
_atom_site_fract_z
Mg1 0.0000 0.0000 0.0000
Re1 0.0000 0.0000 0.5000
Br1 0.5000 0.5000 0.5000
```

No. 4
Computed, not measured: Mg2ReBr at its PBEsol-relaxed geometry at the SCAN level of DFT.

## Properties
offset from the most stable computed form = 1.158 eV/f.u.
total moment = 1.47 μB per formula unit
ΔE_f (raw) = 0.40 eV/atom

CIF file:
```
data_Mg2ReBr
_symmetry_space_group_name_H-M 'P 4/m m m'
_symmetry_Int_Tables_number 123
_symmetry_space_group_name_Hall '-P 4 2'
_cell_length_a 4.9680
_cell_length_b 4.9680
_cell_length_c 2.9890
_cell_angle_alpha 90.00
_cell_angle_beta 90.00
_cell_angle_gamma 90.00
loop_
_atom_site_label
_atom_site_fract_x
_atom_site_fract_y
_atom_site_fract_z
Mg1 0.0000 0.5000 0.0000
Re1 0.0000 0.0000 0.5000
Br1 0.5000 0.5000 0.5000
```

No. 5
Computed, not measured: Mg4ReBr at its PBEsol-relaxed geometry at the SCAN level of DFT.

## Properties
total moment = 0.00 μB per formula unit
ΔE_f (raw) = 0.71 eV/atom

CIF file:
```
data_Mg4ReBr
_symmetry_space_group_name_H-M 'F -4 3 m'
_symmetry_Int_Tables_number 216
_symmetry_space_group_name_Hall 'F -4 2 3'
_cell_length_a 7.7501
_cell_length_b 7.7501
_cell_length_c 7.7501
_cell_angle_alpha 90.00
_cell_angle_beta 90.00
_cell_angle_gamma 90.00
loop_
_atom_site_label
_atom_site_fract_x
_atom_site_fract_y
_atom_site_fract_z
Mg1 0.1231 0.1231 0.1231
Re1 0.2500 0.2500 0.7500
Br1 0.0000 0.0000 0.5000
```

No. 6
Computed, not measured: Mg2ReBr at its PBEsol-relaxed geometry at the SCAN level of DFT.

## Properties
offset from the most stable computed form = 0.950 eV/f.u.
total moment = 0.00 μB per formula unit
ΔE_f (raw) = 0.34 eV/atom

CIF file:
```
data_Mg2ReBr
_symmetry_space_group_name_H-M 'I m m 2'
_symmetry_Int_Tables_number 44
_cell_length_a 2.9595
_cell_length_b 4.6839
_cell_length_c 12.0159
_cell_angle_alpha 90.00
_cell_angle_beta 90.00
_cell_angle_gamma 90.00
loop_
_symmetry_equiv_pos_as_xyz
'x,y,z'
'-x,-y,z'
'-x,y,z'
'x,-y,z'
'x+1/2,y+1/2,z+1/2'
'-x+1/2,-y+1/2,z+1/2'
'-x+1/2,y+1/2,z+1/2'
'x+1/2,-y+1/2,z+1/2'
loop_
_atom_site_label
_atom_site_fract_x
_atom_site_fract_y
_atom_site_fract_z
Mg1 0.0000 0.0000 0.0000
Mg2 0.0000 0.5000 0.1618
Re1 0.0000 0.5000 0.6918
Br1 0.0000 0.0000 0.3637
```

Values for electronic total energy, eV/f.u., ordered as above
-90.871; -100.078; -221.670; -98.920; -106.219; -99.128